Entry 1:
## DyYCd6 (PBE)

Data for a geometry-optimized DyYCd6 structure.

```
data_DyYCd6
_chemical_formula_sum 'Dy1 Y1 Cd6'
_cell_length_a 5.0629
_cell_length_b 7.1377
_cell_length_c 5.0628
_cell_angle_alpha 90.00
_cell_angle_beta 90.00
_cell_angle_gamma 90.00
_symmetry_space_group_name_H-M 'P 1'
_symmetry_Int_Tables_number 1
loop_
_symmetry_equiv_pos_as_xyz
'x,y,z'
loop_
_atom_site_label
_atom_site_fract_x
_atom_site_fract_y
_atom_site_fract_z
Cd1 0.0000 0.2493 0.2452
Cd2 0.0000 0.7507 0.2452
Cd3 0.5000 0.0000 0.2537
Cd4 0.0000 0.5000 0.7463
Cd5 0.5000 0.2494 0.7547
Cd6 0.5000 0.7506 0.7547
Dy1 0.0000 0.0000 0.7458
Y1 0.5000 0.5000 0.2542
```

Properties
As for the density: 8.40 g/cm3. Its raw total energy is -18.715 eV per cell. For the energy relative to the lowest polymorph listed for this composition, the calculation gives 0.0123 eV per atom. Its energy of formation is -0.284 eV/atom.

***

Entry 2:
## AcScCd (PBE)

Data for a geometry-optimized AcScCd structure.

```
data_AcScCd
_chemical_formula_sum 'Ac1 Sc1 Cd1'
_cell_length_a 5.1185
_cell_length_b 5.1185
_cell_length_c 5.1185
_cell_angle_alpha 60.00
_cell_angle_beta 60.00
_cell_angle_gamma 60.00
_symmetry_space_group_name_H-M 'P 1'
_symmetry_Int_Tables_number 1
loop_
_symmetry_equiv_pos_as_xyz
'x,y,z'
loop_
_atom_site_label
_atom_site_fract_x
_atom_site_fract_y
_atom_site_fract_z
Ac1 0.2500 0.2500 0.2500
Cd1 0.7500 0.7500 0.7500
Sc1 0.0000 0.0000 0.0000
```

Properties
As for the density: 6.73 g/cm3. Its raw total energy is -10.198 eV per cell. For the energy relative to the lowest polymorph listed for this composition, the calculation gives 0.0000 eV per atom. Its energy of formation is 0.377 eV/atom.